# PBE+U Cs2CoCuO, optimized geometry
data_Cs2CoCuO
_space_group_name_H-M_alt 'P 4/m m m'
_space_group_IT_number 123
_space_group_name_Hall '-P 4 2'
_cell_length_a 6.5178
_cell_length_b 6.5178
_cell_length_c 4.6710
_cell_angle_alpha 90.00
_cell_angle_beta 90.00
_cell_angle_gamma 90.00
loop_
_atom_site_label
_atom_site_fract_x
_atom_site_fract_y
_atom_site_fract_z
Cs1 0.0000 0.5000 0.0000
Co1 0.0000 0.0000 0.5000
Cu1 0.0000 0.0000 0.0000
O1 0.5000 0.5000 0.5000
# * uncorrected energy: -13.32 eV/cell